PBE ZrPtCl2, optimized geometry; excess energy over the best structure of this formula in the dataset = 646 meV per atom; DFT total energy = -5.088 eV per atom; space group = No. 166; raw formation energy = -0.517 eV/atom; mass density = 6.804 g/cm3
1.0
1.558 0.900 10.361
-1.558 0.900 10.361
0.000 -1.800 10.361
Zr Pt Cl
1 1 2
direct
0.000 0.000 0.000
0.500 0.500 0.500
0.273 0.273 0.273
0.727 0.727 0.727